[1]
A relaxed YMgGe2Pt5 crystal, computed with PBE-GGA.

POSCAR file:
```
YMgGe2Pt5
1.0
4.1923 0.0000 0.0000
0.0000 4.1923 0.0000
0.0000 0.0000 9.1380
Y Mg Ge Pt
1 1 2 5
Cartesian
0.0000 0.0000 4.5690
0.0000 0.0000 0.0000
2.0962 2.0962 1.1861
2.0962 2.0962 7.9520
0.0000 2.0962 2.4762
2.0962 0.0000 2.4762
0.0000 2.0962 6.6619
2.0962 0.0000 6.6619
2.0962 2.0962 4.5690
```

ΔH_f (0 K) in kJ/mol of formula units: -632
Space group: No. 123

=====

[2]
A relaxed PrCrSe3 crystal, computed with PBE-GGA.

POSCAR file:
```
PrCrSe3
1.0
-0.3256 -3.4746 1.6477
6.9183 0.4492 2.3143
-3.7784 3.3589 6.3364
Pr Cr Se
2 2 6
Cartesian
1.8018 -0.0228 2.5678
1.0126 0.3563 7.7306
4.5731 0.8266 4.9066
-1.7587 -0.4931 5.3918
2.6896 -0.9183 5.3744
0.1247 1.2518 4.9240
-1.9303 0.6378 7.7428
3.7437 1.8422 6.8841
4.7447 -0.3043 2.5556
-0.9293 -1.5087 3.4143
```

DFT total energy in eV for the cell shown: -59.939
Space group: No. 11

=====

[3]
A relaxed Zr3CS2 crystal, computed with PBE-GGA.

POSCAR file:
```
Zr3CS2
1.0
3.4432 0.0000 0.0000
0.0000 4.9914 0.0000
-1.7216 -2.4957 5.8383
Zr C S
3 1 2
Cartesian
2.5824 1.2478 1.4152
-0.8608 1.2478 4.4231
0.8608 -1.2478 2.9192
0.8608 1.2478 2.9192
2.5824 3.7435 0.8364
-0.8608 -1.2478 5.0019
```

DFT total energy in eV for the cell shown: -50.866
Space group: No. 71

=====

[4]
A relaxed Pm8Ga3PI4 crystal, computed with PBE-GGA.

POSCAR file:
```
Pm8Ga3PI4
1.0
8.6338 0.0000 0.0000
0.0000 9.0533 0.2939
-4.3169 -4.3146 6.1054
Pm Ga P I
8 3 1 4
Cartesian
-2.1879 2.1662 6.1286
0.0000 4.3527 3.0346
0.0000 0.3656 3.3090
2.1879 2.1662 6.1286
2.1290 2.5725 0.2707
4.3169 4.3731 3.0903
4.3169 0.3860 3.3647
6.5048 2.5725 0.2707
4.3169 4.5267 0.1469
2.1584 2.3693 3.1996
-2.1584 2.3693 3.1996
0.0000 4.5267 0.1469
4.3169 0.0000 0.0000
2.1584 -2.1573 3.0527
0.0000 0.0000 0.0000
-2.1584 -2.1573 3.0527
```

DFT total energy in eV for the cell shown: -73.278
Space group: No. 166

=====

[5]
A relaxed CsNa3Bi2 crystal, computed with PBE-GGA.

POSCAR file:
```
CsNa3Bi2
1.0
-1.9863 0.9866 -5.0620
-3.2120 -9.1108 2.5016
-5.7491 7.0861 3.6370
Cs Na Bi
2 6 4
Cartesian
-9.1286 1.1475 0.7889
-1.8188 -2.1856 0.2878
-5.7886 -1.5196 1.9753
-8.8203 -3.1364 -0.1670
-5.8946 3.6419 0.0060
-5.0529 -4.6800 1.0706
-2.1272 2.0983 1.2437
-5.1589 0.4815 -0.8986
-8.8548 -2.2860 3.0291
-2.0927 1.2479 -1.9525
-5.8280 -2.7096 -1.2580
-5.1195 1.6715 2.3347
```

ΔH_f (0 K) in kJ/mol of formula units: -181
Space group: No. 12

=====

[6]
A relaxed TmNp2N3 crystal, computed with PBE-GGA.

POSCAR file:
```
TmNp2N3
1.0
3.3515 -0.0002 -0.7637
-0.1736 3.3469 -0.7641
-0.0187 -0.0187 7.6550
Tm Np N
1 2 3
Cartesian
1.3632 1.4420 6.0256
0.3132 0.3352 1.4171
2.4322 2.5671 2.9793
2.9521 3.1155 5.2616
0.8458 0.8962 3.7539
1.8998 2.0058 0.6424
```

DFT total energy in eV for the cell shown: -63.312
Space group: No. 139

=====

[7]
A relaxed RbTlTeAsCl crystal, computed with PBE-GGA.

POSCAR file:
```
RbTlTeAsCl
1.0
-4.0696 0.0645 0.2722
-0.1682 -3.9887 -1.5709
0.7319 -2.8326 9.5043
Tl Te As Rb Cl
1 1 1 1 1
Cartesian
-0.9610 -4.4146 0.6056
-2.6645 -1.6641 5.0689
-0.7317 -3.0652 3.7175
-0.4016 -4.7137 6.9976
-2.2712 -3.2313 9.2311
```

DFT total energy in eV for the cell shown: -16.498
Space group: No. 1

=====

[8]
A relaxed La4SmHoEr2 crystal, computed with PBE-GGA.

POSCAR file:
```
La4SmHoEr2
1.0
-5.0470 -1.4234 0.1507
1.3056 -4.7973 -1.5829
2.3912 -7.6397 7.9236
La Sm Ho Er
4 1 1 2
Cartesian
2.7705 -9.3222 4.7392
-4.1207 -4.5382 1.7523
-0.9444 -6.2249 0.8897
-0.4058 -7.6355 5.6018
0.5204 -10.7497 7.2067
1.8484 -6.2186 3.1707
-2.6559 -9.0629 8.0736
-0.0222 -9.3291 2.4551
```

ΔH_f (0 K) in kJ/mol of formula units: 16
Space group: No. 47

=====

[9]
A relaxed Te2IrPt crystal, computed with PBE-GGA.

POSCAR file:
```
Te2IrPt
1.0
4.8476 0.0000 0.0000
2.4238 4.1981 0.0000
2.4238 1.3994 3.9581
Ir Pt Te
1 1 2
Cartesian
4.8476 2.7988 1.9790
7.2714 4.1981 2.9685
0.0000 0.0000 0.0000
2.4238 1.3994 0.9895
```

DFT total energy in eV for the cell shown: -18.374
Space group: No. 216

=====

[10]
A relaxed BaErHg6 crystal, computed with PBE-GGA.

POSCAR file:
```
BaErHg6
1.0
-0.4203 -5.9727 -0.5498
4.9831 -3.3588 -0.1990
1.3322 -3.9198 8.6871
Ba Er Hg
1 1 6
Cartesian
0.0000 0.0000 0.0000
2.9475 -6.6256 3.9692
0.7063 -1.8400 2.8319
3.1707 -3.5012 2.7335
5.3966 -8.4574 5.3784
2.7243 -9.7501 5.2049
5.1887 -11.4112 5.1065
0.4984 -4.7939 2.5600
```

ΔH_f (0 K) in kJ/mol of formula units: -109
Space group: No. 166

=====

[11]
A relaxed SrLaTc2 crystal, computed with PBE-GGA.

POSCAR file:
```
SrLaTc2
1.0
4.9783 0.0000 0.0000
2.4892 4.3113 0.0000
2.4892 1.4371 4.0648
La Sr Tc
1 1 2
Cartesian
4.9783 2.8742 2.0324
7.4675 4.3113 3.0486
0.0000 0.0000 0.0000
2.4892 1.4371 1.0162
```

ΔH_f (0 K) in kJ/mol of formula units: 317
Space group: No. 216

=====

[12]
A relaxed ThGa2Rh2 crystal, computed with PBE-GGA.

POSCAR file:
```
ThGa2Rh2
1.0
5.5533 -0.3485 -0.0047
-2.2117 5.1058 -0.0047
-1.6666 -2.3726 7.0049
Th Ga Rh
2 4 4
Cartesian
2.2270 1.1066 5.2466
-0.5520 1.2780 1.7489
0.5546 -1.2721 3.7485
1.1193 3.6551 0.2414
1.1204 3.6567 3.2470
0.5557 -1.2705 6.7541
-1.1091 -0.1023 5.2513
1.6670 -0.2806 1.7489
0.0080 2.6653 5.2466
2.7841 2.4869 1.7442
```

ΔH_f (0 K) in kJ/mol of formula units: -334
Space group: No. 70

=====

Calculated N(E_F) in order - 3.2 1.1 2.0 8.2 5.0 9.2 0.3 11.0 3.4 4.9 7.7 3.1 states/eV/f.u.
Calculated theoretical density in order - 12.76 6.33 5.79 6.49 4.30 13.26 5.06 7.33 13.25 8.91 8.04 9.93 g/cm3
Calculated size of the total moment in order - 0.00 2.08 0.00 0.00 0.00 6.60 0.00 0.00 0.00 0.00 0.00 0.00 μB/cell